P) 5
Lattice="4.563 0.000 0.000 0.000 4.563 0.000 0.000 0.000 5.114" Properties=species:S:1:pos:R:3 comment="GGA-PBE TiTc2SbAu, optimized geometry" vol_a3_per_atom=21.3 space_group="P4/mmm (123)" pbc="T T T"
Sb 0.000 0.000 2.557
Au 2.281 2.281 2.557
Ti 0.000 0.000 0.000
Tc 0.000 2.281 0.000
Tc 2.281 0.000 0.000

---

Q) 5
Lattice="4.852 0.000 0.000 0.000 4.968 0.000 0.000 0.000 4.852" Properties=species:S:1:pos:R:3 comment="GGA-PBE TiTc2SbAu, optimized geometry" vol_a3_per_atom=23.4 space_group="P4/mmm (123)" pbc="T T T"
Tc 0.000 0.000 2.426
Tc 2.426 0.000 0.000
Ti 0.000 2.484 0.000
Au 2.426 2.484 2.426
Sb 0.000 0.000 0.000

---

Pick P): it beats the second-best structure by 353 meV per atom.